Entry from the Alexandria database: a crystal of BeReHg2 relaxed with PBEsol (SCAN).

As for the crystal system: cubic. The calculated total energy is -51.85 eV per atom. Its density of states at the Fermi level is 2.54 states/eV/f.u. Its formation energy is 1.0986 eV/atom.

The structure belongs to space group F-43m (No. 216); the cell edges are 6.3672, 6.3672 and 6.3672 Å and the angles 90.00°, 90.00° and 90.00°. Symmetry generates all atoms from Be at (0.0000, 0.0000, 0.0000), Re at (0.2500, 0.2500, 0.2500), Hg at (0.0000, 0.0000, 0.5000) and Hg at (0.2500, 0.2500, 0.7500).

***

Entry from the Alexandria database: a crystal of YTcIr2 relaxed with PBEsol (SCAN).

As for the crystal system: orthorhombic. The calculated total energy is -51.54 eV per atom. Its density of states at the Fermi level is 3.74 states/eV/f.u. As for the distance to the lowest polymorph of the same formula: 20 meV per atom. Its formation energy is -0.2608 eV/atom.

The structure belongs to space group Cmmm (No. 65); the cell edges are 5.7461, 7.7425 and 2.8791 Å and the angles 90.00°, 90.00° and 90.00°. Symmetry generates all atoms from Y at (0.0000, 0.0000, 0.0000), Tc at (0.0000, 0.5000, 0.0000) and Ir at (0.2500, 0.2500, 0.5000).

***

Entry from the Alexandria database: a crystal of BeZnSe2 relaxed with PBEsol (SCAN).

As for the crystal system: orthorhombic. The calculated total energy is -14.57 eV per atom. The uncorrected formation energy comes out at -0.27 eV/f.u. Its density of states at the Fermi level is 0.83 states/eV/f.u. As for the distance to the lowest polymorph of the same formula: 790 meV per atom.

The structure belongs to space group Pmmm (No. 47); the cell edges are 3.3796, 3.4345 and 7.5841 Å and the angles 90.00°, 90.00° and 90.00°. Symmetry generates all atoms from Be at (0.0000, 0.0000, 0.0000), Zn at (0.0000, 0.5000, 0.5000), Se at (0.5000, 0.0000, 0.5000) and Se at (0.5000, 0.5000, 0.0000).

***

Entry from the Alexandria database: a crystal of LiNd2Ga relaxed with PBEsol (SCAN).

As for the crystal system: cubic. The calculated total energy is -26.82 eV per atom. Its density of states at the Fermi level is 3.29 states/eV/f.u. Its formation energy is -0.3457 eV/atom.

The structure belongs to space group Fm-3m (No. 225); the cell edges are 7.3142, 7.3142 and 7.3142 Å and the angles 90.00°, 90.00° and 90.00°. Symmetry generates all atoms from Li at (0.0000, 0.0000, 0.0000), Nd at (0.2500, 0.2500, 0.2500) and Ga at (0.0000, 0.0000, 0.5000).

***

Entry from the Alexandria database: a crystal of LaZr2Tl relaxed with PBEsol (SCAN).

As for the crystal system: tetragonal. The calculated total energy is -44.32 eV per atom. Its density of states at the Fermi level is 3.60 states/eV/f.u. Its formation energy is -0.1053 eV/atom.

The structure belongs to space group P4mm (No. 99); the cell edges are 3.2679, 3.2679 and 9.4320 Å and the angles 90.00°, 90.00° and 90.00°. Symmetry generates all atoms from La at (0.0000, 0.0000, 0.0000), Zr at (0.0000, 0.0000, 0.4968), Zr at (0.5000, 0.5000, 0.7188) and Tl at (0.5000, 0.5000, 0.2663).

***

Entry from the Alexandria database: a crystal of BeTlCo2Cl relaxed with PBEsol (SCAN).

As for the crystal system: tetragonal. The calculated total energy is -22.80 eV per atom. The uncorrected formation energy comes out at 5.29 eV/f.u. Its density of states at the Fermi level is 3.71 states/eV/f.u.

The structure belongs to space group P4/mmm (No. 123); the cell edges are 4.0162, 4.0162 and 5.7741 Å and the angles 90.00°, 90.00° and 90.00°. Symmetry generates all atoms from Be at (0.0000, 0.0000, 0.0000), Tl at (0.5000, 0.5000, 0.0000), Co at (0.0000, 0.5000, 0.5000) and Cl at (0.5000, 0.5000, 0.5000).

***

Entry from the Alexandria database: a crystal of Sr3PtW relaxed with PBEsol (SCAN).

As for the crystal system: cubic. The calculated total energy is -40.08 eV per atom. Its density of states at the Fermi level is 2.86 states/eV/f.u. Its formation energy is 1.2604 eV/atom.

The structure belongs to space group Pm-3m (No. 221); the cell edges are 5.4804, 5.4804 and 5.4804 Å and the angles 90.00°, 90.00° and 90.00°. Symmetry generates all atoms from Sr at (0.0000, 0.0000, 0.5000), Pt at (0.5000, 0.5000, 0.5000) and W at (0.0000, 0.0000, 0.0000).

***

Entry from the Alexandria database: a crystal of MgZrSe2Br relaxed with PBEsol (SCAN).

As for the crystal system: tetragonal. The calculated total energy is -19.86 eV per atom. The uncorrected formation energy comes out at -4.00 eV/f.u. Its density of states at the Fermi level is 1.93 states/eV/f.u.

The structure belongs to space group P4/mmm (No. 123); the cell edges are 5.1831, 5.1831 and 5.1878 Å and the angles 90.00°, 90.00° and 90.00°. Symmetry generates all atoms from Mg at (0.0000, 0.0000, 0.0000), Zr at (0.5000, 0.5000, 0.5000), Se at (0.0000, 0.5000, 0.5000) and Br at (0.5000, 0.5000, 0.0000).

***

Entry from the Alexandria database: a crystal of CsRbSi3 relaxed with PBEsol (SCAN).

As for the crystal system: cubic. The calculated total energy is -15.81 eV per atom. The uncorrected formation energy comes out at 9.55 eV/f.u. Its density of states at the Fermi level is 4.79 states/eV/f.u.

The structure belongs to space group Pm-3m (No. 221); the cell edges are 5.6916, 5.6916 and 5.6916 Å and the angles 90.00°, 90.00° and 90.00°. Symmetry generates all atoms from Cs at (0.0000, 0.0000, 0.0000), Rb at (0.5000, 0.5000, 0.5000) and Si at (0.0000, 0.0000, 0.5000).

***

Entry from the Alexandria database: a crystal of Li2Be2Sn relaxed with PBEsol (SCAN).

As for the crystal system: tetragonal. The calculated total energy is -9.78 eV per atom. Its density of states at the Fermi level is 1.62 states/eV/f.u. Its formation energy is 0.1062 eV/atom.

The structure belongs to space group P4/mbm (No. 127); the cell edges are 6.3207, 6.3207 and 3.6339 Å and the angles 90.00°, 90.00° and 90.00°. Symmetry generates all atoms from Li at (0.1653, 0.3347, 0.0000), Be at (0.1194, 0.6194, 0.5000) and Sn at (0.0000, 0.0000, 0.5000).

***

Entry from the Alexandria database: a crystal of MgIn2 relaxed with PBEsol (SCAN).

As for the crystal system: hexagonal. The calculated total energy is -23.94 eV per atom. Its density of states at the Fermi level is 1.19 states/eV/f.u. Its formation energy is -0.0270 eV/atom.

The structure belongs to space group P-6m2 (No. 187); the cell edges are 3.2496, 3.2496 and 15.8271 Å and the angles 90.00°, 90.00° and 120.00°. Symmetry generates all atoms from Mg at (0.0000, 0.0000, 0.1592), In at (0.0000, 0.0000, 0.5000), In at (0.6667, 0.3333, 0.0000) and In at (0.6667, 0.3333, 0.3217).

***

Entry from the Alexandria database: a crystal of BaOsS2 relaxed with PBEsol (SCAN).

As for the crystal system: cubic. The calculated total energy is -32.45 eV per atom. The uncorrected formation energy comes out at 0.89 eV/f.u. Its density of states at the Fermi level is 3.19 states/eV/f.u.

The structure belongs to space group Fm-3m (No. 225); the cell edges are 6.7515, 6.7515 and 6.7515 Å and the angles 90.00°, 90.00° and 90.00°. Symmetry generates all atoms from Ba at (0.0000, 0.0000, 0.0000), Os at (0.0000, 0.0000, 0.5000) and S at (0.2500, 0.2500, 0.2500).